(1)
A plane-wave DFT calculation with PBE-GGA was carried out for crystalline Ca3LaPd at its relaxed geometry.

Offset from the most stable computed form = 0 meV per atom
Energy of formation from the pure elements = -0.86 eV per formula unit
Uncorrected energy = -17.0 eV per cell

```
data_Ca3LaPd
_cell_length_a 5.647
_cell_length_b 5.647
_cell_length_c 5.647
_cell_angle_alpha 90.00
_cell_angle_beta 90.00
_cell_angle_gamma 90.00
_symmetry_space_group_name_H-M 'P m -3 m'
_symmetry_Int_Tables_number 221
_symmetry_space_group_name_Hall '-P 4 2 3'
loop_
_atom_site_label
_atom_site_type_symbol
_atom_site_fract_x
_atom_site_fract_y
_atom_site_fract_z
Ca1 Ca 0.000 0.000 0.500
La1 La 0.500 0.500 0.500
Pd1 Pd 0.000 0.000 0.000
```


(2)
A plane-wave DFT calculation with PBE-GGA was carried out for crystalline CaLaPd at its relaxed geometry.

Offset from the most stable computed form = 51 meV per atom
Energy of formation from the pure elements = -1.45 eV per formula unit
Uncorrected energy = -27.1 eV per cell

```
data_CaLaPd
_cell_length_a 3.661
_cell_length_b 3.661
_cell_length_c 13.316
_cell_angle_alpha 90.00
_cell_angle_beta 90.00
_cell_angle_gamma 90.00
_symmetry_space_group_name_H-M 'I 4 m m'
_symmetry_Int_Tables_number 107
_symmetry_space_group_name_Hall 'I 4 -2'
loop_
_atom_site_label
_atom_site_type_symbol
_atom_site_fract_x
_atom_site_fract_y
_atom_site_fract_z
Ca1 Ca 0.000 0.000 0.000
La1 La 0.000 0.000 0.259
Pd1 Pd 0.000 0.000 0.637
```


(3)
A plane-wave DFT calculation with PBE-GGA was carried out for crystalline CaLaPd at its relaxed geometry.

Offset from the most stable computed form = 95 meV per atom
Energy of formation from the pure elements = -1.32 eV per formula unit
Uncorrected energy = -13.4 eV per cell

```
data_CaLaPd
_cell_length_a 4.1687
_cell_length_b 4.1687
_cell_length_c 6.7551
_cell_angle_alpha 90.00
_cell_angle_beta 90.00
_cell_angle_gamma 120.00
_symmetry_space_group_name_H-M 'P 3 m 1'
_symmetry_Int_Tables_number 156
_symmetry_space_group_name_Hall 'P 3 -2"'
loop_
_atom_site_label
_atom_site_type_symbol
_atom_site_fract_x
_atom_site_fract_y
_atom_site_fract_z
Ca1 Ca 0.0000 0.0000 0.0000
La1 La 0.6667 0.3333 0.5108
Pd1 Pd 0.3333 0.6667 0.7460
```


(4)
A plane-wave DFT calculation with PBE-GGA was carried out for crystalline Ca4LaPd5 at its relaxed geometry.

Energy of formation from the pure elements = -7.04 eV per formula unit
Uncorrected energy = -45.9 eV per cell

```
data_Ca4LaPd5
_cell_length_a 3.580
_cell_length_b 3.580
_cell_length_c 17.696
_cell_angle_alpha 90.00
_cell_angle_beta 90.00
_cell_angle_gamma 90.00
_symmetry_space_group_name_H-M 'P 4/m m m'
_symmetry_Int_Tables_number 123
_symmetry_space_group_name_Hall '-P 4 2'
loop_
_atom_site_label
_atom_site_type_symbol
_atom_site_fract_x
_atom_site_fract_y
_atom_site_fract_z
Ca1 Ca 0.000 0.000 0.098
Ca2 Ca 0.000 0.000 0.293
La1 La 0.000 0.000 0.500
Pd1 Pd 0.500 0.500 0.000
Pd2 Pd 0.500 0.500 0.197
Pd3 Pd 0.500 0.500 0.398
```


(5)
A plane-wave DFT calculation with PBE-GGA was carried out for crystalline CaLa4Pd2 at its relaxed geometry.

Offset from the most stable computed form = 55 meV per atom
Energy of formation from the pure elements = -2.31 eV per formula unit
Uncorrected energy = -68.8 eV per cell

```
data_CaLa4Pd2
_cell_length_a 7.431
_cell_length_b 7.438
_cell_length_c 9.037
_cell_angle_alpha 106.56
_cell_angle_beta 106.59
_cell_angle_gamma 92.21
_symmetry_space_group_name_H-M 'P 1'
_symmetry_Int_Tables_number 1
_symmetry_space_group_name_Hall 'P 1'
loop_
_atom_site_label
_atom_site_type_symbol
_atom_site_fract_x
_atom_site_fract_y
_atom_site_fract_z
Ca1 Ca 0.000 0.000 0.000
Ca2 Ca 0.138 0.862 0.500
La1 La 0.185 0.566 0.783
La2 La 0.306 0.308 0.412
La3 La 0.421 0.167 0.903
La4 La 0.435 0.816 0.218
La5 La 0.692 0.694 0.588
La6 La 0.799 0.186 0.684
La7 La 0.815 0.202 0.316
La8 La 0.834 0.579 0.097
Pd1 Pd 0.153 0.398 0.042
Pd2 Pd 0.536 0.450 0.238
Pd3 Pd 0.551 0.464 0.762
Pd4 Pd 0.601 0.847 0.958
```


(6)
A plane-wave DFT calculation with PBE-GGA was carried out for crystalline CaLa2Pd at its relaxed geometry.

Offset from the most stable computed form = 181 meV per atom
Energy of formation from the pure elements = -0.90 eV per formula unit
Uncorrected energy = -71.8 eV per cell

```
data_CaLa2Pd
_cell_length_a 8.902
_cell_length_b 8.902
_cell_length_c 6.670
_cell_angle_alpha 90.00
_cell_angle_beta 90.00
_cell_angle_gamma 90.00
_symmetry_space_group_name_H-M 'I -4 2 d'
_symmetry_Int_Tables_number 122
_symmetry_space_group_name_Hall 'I -4 2bw'
loop_
_atom_site_label
_atom_site_type_symbol
_atom_site_fract_x
_atom_site_fract_y
_atom_site_fract_z
Ca1 Ca 0.000 0.000 0.000
La1 La 0.184 0.250 0.625
Pd1 Pd 0.000 0.000 0.500
```


(7)
A plane-wave DFT calculation with PBE-GGA was carried out for crystalline CaLa3Pd12 at its relaxed geometry.

Energy of formation from the pure elements = -11.60 eV per formula unit
Uncorrected energy = -90.7 eV per cell

```
data_CaLa3Pd12
_cell_length_a 4.203
_cell_length_b 4.203
_cell_length_c 16.847
_cell_angle_alpha 90.00
_cell_angle_beta 90.00
_cell_angle_gamma 90.00
_symmetry_space_group_name_H-M 'P 4/m m m'
_symmetry_Int_Tables_number 123
_symmetry_space_group_name_Hall '-P 4 2'
loop_
_atom_site_label
_atom_site_type_symbol
_atom_site_fract_x
_atom_site_fract_y
_atom_site_fract_z
Ca1 Ca 0.000 0.000 0.000
La1 La 0.000 0.000 0.246
La2 La 0.000 0.000 0.500
Pd1 Pd 0.000 0.500 0.122
Pd2 Pd 0.000 0.500 0.374
Pd3 Pd 0.500 0.500 0.000
Pd4 Pd 0.500 0.500 0.249
Pd5 Pd 0.500 0.500 0.500
```


(8)
A plane-wave DFT calculation with PBE-GGA was carried out for crystalline CaLaPd at its relaxed geometry.

Offset from the most stable computed form = 0 meV per atom
Energy of formation from the pure elements = -1.60 eV per formula unit
Uncorrected energy = -82.3 eV per cell

```
data_CaLaPd
_cell_length_a 14.963
_cell_length_b 4.073
_cell_length_c 8.716
_cell_angle_alpha 90.00
_cell_angle_beta 90.00
_cell_angle_gamma 90.00
_symmetry_space_group_name_H-M 'P m m a'
_symmetry_Int_Tables_number 51
_symmetry_space_group_name_Hall '-P 2a 2a'
loop_
_atom_site_label
_atom_site_type_symbol
_atom_site_fract_x
_atom_site_fract_y
_atom_site_fract_z
Ca1 Ca 0.121 0.000 0.061
Ca2 Ca 0.250 0.000 0.710
La1 La 0.040 0.500 0.689
La2 La 0.250 0.500 0.356
Pd1 Pd 0.098 0.000 0.439
Pd2 Pd 0.250 0.500 0.964
```


(9)
A plane-wave DFT calculation with PBE-GGA was carried out for crystalline Ca5LaPd6 at its relaxed geometry.

Energy of formation from the pure elements = -8.48 eV per formula unit
Uncorrected energy = -109.1 eV per cell

```
data_Ca5LaPd6
_cell_length_a 5.030
_cell_length_b 15.024
_cell_length_c 7.178
_cell_angle_alpha 90.00
_cell_angle_beta 90.00
_cell_angle_gamma 90.00
_symmetry_space_group_name_H-M 'C m m m'
_symmetry_Int_Tables_number 65
_symmetry_space_group_name_Hall '-C 2 2'
loop_
_atom_site_label
_atom_site_type_symbol
_atom_site_fract_x
_atom_site_fract_y
_atom_site_fract_z
Ca1 Ca 0.000 0.000 0.000
Ca2 Ca 0.000 0.329 0.500
Ca3 Ca 0.000 0.333 0.000
La1 La 0.000 0.000 0.500
Pd1 Pd 0.000 0.164 0.250
Pd2 Pd 0.000 0.500 0.256
```


(10)
A plane-wave DFT calculation with PBE-GGA was carried out for crystalline Ca2LaPd3 at its relaxed geometry.

Energy of formation from the pure elements = -4.38 eV per formula unit
Uncorrected energy = -28.9 eV per cell

```
data_Ca2LaPd3
_cell_length_a 5.0933
_cell_length_b 5.0933
_cell_length_c 6.1544
_cell_angle_alpha 90.00
_cell_angle_beta 90.00
_cell_angle_gamma 120.00
_symmetry_space_group_name_H-M 'P -3 m 1'
_symmetry_Int_Tables_number 164
_symmetry_space_group_name_Hall '-P 3 2"'
loop_
_atom_site_label
_atom_site_type_symbol
_atom_site_fract_x
_atom_site_fract_y
_atom_site_fract_z
Ca1 Ca 0.3333 0.6667 0.1531
La1 La 0.0000 0.0000 0.5000
Pd1 Pd 0.0000 0.0000 0.0000
Pd2 Pd 0.3333 0.6667 0.6519
```


(11)
A plane-wave DFT calculation with PBE-GGA was carried out for crystalline CaLa2Pd at its relaxed geometry.

Offset from the most stable computed form = 344 meV per atom
Energy of formation from the pure elements = -0.25 eV per formula unit
Uncorrected energy = -69.2 eV per cell

```
data_CaLa2Pd
_cell_length_a 7.790
_cell_length_b 7.790
_cell_length_c 7.790
_cell_angle_alpha 90.00
_cell_angle_beta 90.00
_cell_angle_gamma 90.00
_symmetry_space_group_name_H-M 'F m -3 m'
_symmetry_Int_Tables_number 225
_symmetry_space_group_name_Hall '-F 4 2 3'
loop_
_atom_site_label
_atom_site_type_symbol
_atom_site_fract_x
_atom_site_fract_y
_atom_site_fract_z
Ca1 Ca 0.000 0.000 0.000
La1 La 0.250 0.250 0.250
Pd1 Pd 0.000 0.000 0.500
```


(12)
A plane-wave DFT calculation with PBE-GGA was carried out for crystalline CaLa2Pd at its relaxed geometry.

Offset from the most stable computed form = 26 meV per atom
Energy of formation from the pure elements = -1.52 eV per formula unit
Uncorrected energy = -74.3 eV per cell

```
data_CaLa2Pd
_cell_length_a 4.139
_cell_length_b 12.695
_cell_length_c 9.675
_cell_angle_alpha 90.00
_cell_angle_beta 90.00
_cell_angle_gamma 90.00
_symmetry_space_group_name_H-M 'C m c m'
_symmetry_Int_Tables_number 63
_symmetry_space_group_name_Hall '-C 2c 2'
loop_
_atom_site_label
_atom_site_type_symbol
_atom_site_fract_x
_atom_site_fract_y
_atom_site_fract_z
Ca1 Ca 0.000 0.070 0.250
La1 La 0.000 0.359 0.058
Pd1 Pd 0.000 0.231 0.750
```


(13)
A plane-wave DFT calculation with PBE-GGA was carried out for crystalline Ca2LaPd4 at its relaxed geometry.

Energy of formation from the pure elements = -3.20 eV per formula unit
Uncorrected energy = -65.8 eV per cell

```
data_Ca2LaPd4
_cell_length_a 7.382
_cell_length_b 7.382
_cell_length_c 6.046
_cell_angle_alpha 90.00
_cell_angle_beta 90.00
_cell_angle_gamma 90.00
_symmetry_space_group_name_H-M 'I 4/m m m'
_symmetry_Int_Tables_number 139
_symmetry_space_group_name_Hall '-I 4 2'
loop_
_atom_site_label
_atom_site_type_symbol
_atom_site_fract_x
_atom_site_fract_y
_atom_site_fract_z
Ca1 Ca 0.000 0.500 0.000
La1 La 0.000 0.000 0.000
Pd1 Pd 0.250 0.250 0.250
```


(14)
A plane-wave DFT calculation with PBE-GGA was carried out for crystalline CaLa2Pd at its relaxed geometry.

Offset from the most stable computed form = 98 meV per atom
Energy of formation from the pure elements = -1.23 eV per formula unit
Uncorrected energy = -54.8 eV per cell

```
data_CaLa2Pd
_cell_length_a 4.0747
_cell_length_b 4.0747
_cell_length_c 30.0529
_cell_angle_alpha 90.00
_cell_angle_beta 90.00
_cell_angle_gamma 120.00
_symmetry_space_group_name_H-M 'R -3 m'
_symmetry_Int_Tables_number 166
_symmetry_space_group_name_Hall '-R 3 2"'
loop_
_atom_site_label
_atom_site_type_symbol
_atom_site_fract_x
_atom_site_fract_y
_atom_site_fract_z
Ca1 Ca 0.0000 0.0000 0.0000
La1 La 0.0000 0.0000 0.2257
Pd1 Pd 0.0000 0.0000 0.5000
```


(15)
A plane-wave DFT calculation with PBE-GGA was carried out for crystalline CaLaPd at its relaxed geometry.

Offset from the most stable computed form = 26 meV per atom
Energy of formation from the pure elements = -1.52 eV per formula unit
Uncorrected energy = -54.6 eV per cell

```
data_CaLaPd
_cell_length_a 6.969
_cell_length_b 7.311
_cell_length_c 7.388
_cell_angle_alpha 90.00
_cell_angle_beta 96.96
_cell_angle_gamma 90.00
_symmetry_space_group_name_H-M 'P 1 21/c 1'
_symmetry_Int_Tables_number 14
_symmetry_space_group_name_Hall '-P 2ybc'
loop_
_atom_site_label
_atom_site_type_symbol
_atom_site_fract_x
_atom_site_fract_y
_atom_site_fract_z
Ca1 Ca 0.177 0.172 0.338
La1 La 0.318 0.685 0.484
Pd1 Pd 0.436 0.040 0.686
```


(16)
A plane-wave DFT calculation with PBE-GGA was carried out for crystalline CaLa4Pd2 at its relaxed geometry.

Offset from the most stable computed form = 0 meV per atom
Energy of formation from the pure elements = -2.69 eV per formula unit
Uncorrected energy = -69.6 eV per cell

```
data_CaLa4Pd2
_cell_length_a 8.328
_cell_length_b 6.667
_cell_length_c 8.427
_cell_angle_alpha 90.00
_cell_angle_beta 113.63
_cell_angle_gamma 90.00
_symmetry_space_group_name_H-M 'P 1 21/m 1'
_symmetry_Int_Tables_number 11
_symmetry_space_group_name_Hall '-P 2yb'
loop_
_atom_site_label
_atom_site_type_symbol
_atom_site_fract_x
_atom_site_fract_y
_atom_site_fract_z
Ca1 Ca 0.151 0.250 0.020
La1 La 0.012 0.250 0.387
La2 La 0.267 0.750 0.351
La3 La 0.408 0.004 0.777
Pd1 Pd 0.238 0.750 0.994
Pd2 Pd 0.369 0.250 0.416
```


(17)
A plane-wave DFT calculation with PBE-GGA was carried out for crystalline CaLaPd at its relaxed geometry.

Offset from the most stable computed form = 90 meV per atom
Energy of formation from the pure elements = -1.33 eV per formula unit
Uncorrected energy = -53.8 eV per cell

```
data_CaLaPd
_cell_length_a 7.172
_cell_length_b 7.172
_cell_length_c 7.172
_cell_angle_alpha 90.00
_cell_angle_beta 90.00
_cell_angle_gamma 90.00
_symmetry_space_group_name_H-M 'F -4 3 m'
_symmetry_Int_Tables_number 216
_symmetry_space_group_name_Hall 'F -4 2 3'
loop_
_atom_site_label
_atom_site_type_symbol
_atom_site_fract_x
_atom_site_fract_y
_atom_site_fract_z
Ca1 Ca 0.000 0.000 0.000
La1 La 0.000 0.000 0.500
Pd1 Pd 0.250 0.250 0.250
```


(18)
A plane-wave DFT calculation with PBE-GGA was carried out for crystalline CaLa2Pd at its relaxed geometry.

Offset from the most stable computed form = 104 meV per atom
Energy of formation from the pure elements = -1.20 eV per formula unit
Uncorrected energy = -54.8 eV per cell

```
data_CaLa2Pd
_cell_length_a 4.1202
_cell_length_b 4.1202
_cell_length_c 29.8397
_cell_angle_alpha 90.00
_cell_angle_beta 90.00
_cell_angle_gamma 120.00
_symmetry_space_group_name_H-M 'R 3 m'
_symmetry_Int_Tables_number 160
_symmetry_space_group_name_Hall 'R 3 -2"'
loop_
_atom_site_label
_atom_site_type_symbol
_atom_site_fract_x
_atom_site_fract_y
_atom_site_fract_z
Ca1 Ca 0.0000 0.0000 0.0000
La1 La 0.0000 0.0000 0.2258
La2 La 0.0000 0.0000 0.4431
Pd1 Pd 0.0000 0.0000 0.8347
```


(19)
A plane-wave DFT calculation with PBE-GGA was carried out for crystalline Ca2La2PdPt2 at its relaxed geometry.

Energy of formation from the pure elements = -5.93 eV per formula unit
Uncorrected energy = -37.1 eV per cell

```
data_Ca2La2PdPt2
_cell_length_a 3.913
_cell_length_b 7.572
_cell_length_c 7.915
_cell_angle_alpha 115.68
_cell_angle_beta 90.03
_cell_angle_gamma 104.90
_symmetry_space_group_name_H-M 'P -1'
_symmetry_Int_Tables_number 2
_symmetry_space_group_name_Hall '-P 1'
loop_
_atom_site_label
_atom_site_type_symbol
_atom_site_fract_x
_atom_site_fract_y
_atom_site_fract_z
Ca1 Ca 0.218 0.435 0.286
La1 La 0.467 0.935 0.248
Pd1 Pd 0.000 0.000 0.000
Pt1 Pt 0.110 0.221 0.543
```


(20)
A plane-wave DFT calculation with PBE-GGA was carried out for crystalline RbCa2LaPd at its relaxed geometry.

Energy of formation from the pure elements = -0.88 eV per formula unit
Uncorrected energy = -16.0 eV per cell

```
data_RbCa2LaPd
_cell_length_a 6.001
_cell_length_b 6.001
_cell_length_c 5.635
_cell_angle_alpha 90.00
_cell_angle_beta 90.00
_cell_angle_gamma 90.00
_symmetry_space_group_name_H-M 'P 4/m m m'
_symmetry_Int_Tables_number 123
_symmetry_space_group_name_Hall '-P 4 2'
loop_
_atom_site_label
_atom_site_type_symbol
_atom_site_fract_x
_atom_site_fract_y
_atom_site_fract_z
Rb1 Rb 0.000 0.000 0.000
Ca1 Ca 0.000 0.500 0.500
La1 La 0.500 0.500 0.000
Pd1 Pd 0.500 0.500 0.500
```